{
  "formula": "Ba2InHg2",
  "functional": "PBE",
  "state": "optimized geometry",
  "lattice_angstrom": [[8.9213, 0.0000, 0.0000], [0.0000, 8.9213, 0.0000], [0.0000, 0.0000, 4.5503]],
  "species": ["Ba", "Ba", "Ba", "Ba", "In", "In", "Hg", "Hg", "Hg", "Hg"],
  "frac_coords": [[0.1795, 0.3205, 0.0000], [0.3205, 0.8205, 0.0000], [0.6795, 0.1795, 0.0000], [0.8205, 0.6795, 0.0000], [0.0000, 0.0000, 0.5000], [0.5000, 0.5000, 0.5000], [0.1221, 0.6221, 0.5000], [0.3779, 0.1221, 0.5000], [0.6221, 0.8779, 0.5000], [0.8779, 0.3779, 0.5000]],
  "relative_energy_mev_per_atom": 31,
  "formation_energy_mev_per_atom": -432.1,
  "e_tot_ev_per_atom": -1.87
}

---

{
  "formula": "ZrTi4Ge2",
  "functional": "PBE",
  "state": "optimized geometry",
  "lattice_angstrom": [[-1.8173, 1.8173, 9.4041], [1.8173, -1.8173, 9.4041], [1.8173, 1.8173, -9.4041]],
  "species": ["Zr", "Ti", "Ti", "Ti", "Ti", "Ge", "Ge"],
  "frac_coords": [[0.0000, 0.0000, 0.0000], [0.2500, 0.7500, 0.5000], [0.3955, 0.3955, 0.0000], [0.6045, 0.6045, 0.0000], [0.7500, 0.2500, 0.5000], [0.1452, 0.1452, 0.0000], [0.8548, 0.8548, 0.0000]],
  "relative_energy_mev_per_atom": 0,
  "formation_energy_mev_per_atom": -419.6,
  "e_tot_ev_per_atom": -7.47
}